1.
A geometry-optimized Tm2TlHg5 structure. Source: Alexandria, functional PBE.

The energy comes out at -1.86 eV/atom. As for the energy of formation: -0.257 eV/atom.

It has space group Pbam (No. 55), with a = 6.463 Å, b = 12.933 Å, c = 4.647 Å, α = 90.00°, β = 90.00° and γ = 90.00°. Symmetry generates all atoms from Tm at (0.242, 0.126, 0.000), Tl at (0.000, 0.500, 0.500), Hg at (0.000, 0.000, 0.500), Hg at (0.006, 0.752, 0.500) and Hg at (0.247, 0.374, 0.000).


2.
A geometry-optimized Li2AgF3 structure. Source: Alexandria, functional PBE.

The energy comes out at -4.28 eV/atom. The value obtained for the uncorrected formation energy is -2.229 eV/atom. For the energy above the most stable polymorph in this dataset, the calculation gives 39 meV/atom.

It has space group C2/c (No. 15), with a = 5.256 Å, b = 10.689 Å, c = 5.288 Å, α = 90.00°, β = 107.93° and γ = 90.00°. Symmetry generates all atoms from Li at (0.000, 0.147, 0.250), Li at (0.000, 0.245, 0.750), Ag at (0.000, 0.442, 0.250), F at (0.224, 0.121, 0.032) and F at (0.250, 0.250, 0.500).